A relaxed Ce2SiNi2 crystal. Source: the Alexandria database, functional PBE-GGA. Values from VASP.

Cell and atoms, written as Quantum ESPRESSO input:
```
&SYSTEM
  ibrav = 0, nat = 10, ntyp = 3
/
ATOMIC_SPECIES
Ce 140.12 Ce.upf
Ni 58.69 Ni.upf
Si 28.09 Si.upf
ATOMIC_POSITIONS crystal
Ce 0.0888 0.7176 0.1048
Ni 0.6229 0.8802 0.8740
Ce 0.3263 0.6814 0.6660
Si 0.6260 0.1016 0.6465
Ni 0.9118 0.7351 0.4412
Ce 0.6737 0.3186 0.3340
Si 0.3740 0.8984 0.3535
Ce 0.9112 0.2824 0.8952
Ni 0.3771 0.1198 0.1260
Ni 0.0882 0.2649 0.5588
CELL_PARAMETERS angstrom
4.0441 0.0000 0.0000
2.0220 5.2136 -0.4303
2.0220 0.0574 8.9248
```

Computed properties:
- Energy: -6.30 eV/atom
- Total magnetic moment: 1.17 μB/cell
- Formation energy (no corrections): -0.5326 eV/atom
- Space group: No. 12